No. 1
# K3La2TmSe6, relaxed, DFT GGA-PBE
# D(E_F) (states/eV per cell): 0.000
# ΔE_f (raw) (eV/atom): -1.7979
# V (Å³ per cell): 755.9
# Total magnetic moment (Bohr magnetons per cell): 0.00
data_K3La2TmSe6
_cell_length_a 7.537
_cell_length_b 13.055
_cell_length_c 8.085
_cell_angle_alpha 90.00
_cell_angle_beta 108.15
_cell_angle_gamma 90.00
_space_group_name_H-M_alt 'C 1 2/m 1'
_space_group_IT_number 12
loop_
_space_group_symop_operation_xyz
'x,y,z'
'-x,-y,-z'
'-x,y,-z'
'x,-y,z'
'x+1/2,y+1/2,z'
'-x+1/2,-y+1/2,-z'
'-x+1/2,y+1/2,-z'
'x+1/2,-y+1/2,z'
loop_
_atom_site_label
_atom_site_fract_x
_atom_site_fract_y
_atom_site_fract_z
K1 0.000 0.000 0.000
K2 0.000 0.332 0.000
La1 0.000 0.166 0.500
Tm1 0.000 0.500 0.500
Se1 0.229 0.340 0.709
Se2 0.249 0.500 0.292

No. 2
# TbSmScTl, relaxed, DFT GGA-PBE
# D(E_F) (states/eV per cell): 20.596
# Energy relative to the lowest polymorph listed for this composition (meV/atom): 108
# Formation energy (eV/atom): -0.070
# V (Å³ per cell): 449.1
# Total magnetic moment (Bohr magnetons per cell): 5.46
data_TbSmScTl
_cell_length_a 7.658
_cell_length_b 7.658
_cell_length_c 7.658
_cell_angle_alpha 90.00
_cell_angle_beta 90.00
_cell_angle_gamma 90.00
_space_group_name_H-M_alt 'F -4 3 m'
_space_group_IT_number 216
_space_group_name_Hall 'F -4 2 3'
loop_
_atom_site_label
_atom_site_fract_x
_atom_site_fract_y
_atom_site_fract_z
Tb1 0.000 0.000 0.000
Sm1 0.000 0.000 0.500
Sc1 0.250 0.250 0.750
Tl1 0.250 0.250 0.250

No. 3
# CoReIr, relaxed, DFT GGA-PBE
# D(E_F) (states/eV per cell): 3.303
# Energy relative to the lowest polymorph listed for this composition (meV/atom): 114
# Formation energy (eV/atom): 0.025
# V (Å³ per cell): 40.5
# Total magnetic moment (Bohr magnetons per cell): 0.00
data_CoReIr
_cell_length_a 4.1760
_cell_length_b 4.1760
_cell_length_c 2.6818
_cell_angle_alpha 90.00
_cell_angle_beta 90.00
_cell_angle_gamma 120.00
_space_group_name_H-M_alt 'P -6 m 2'
_space_group_IT_number 187
_space_group_name_Hall 'P -6 2'
loop_
_atom_site_label
_atom_site_fract_x
_atom_site_fract_y
_atom_site_fract_z
Co1 0.0000 0.0000 0.0000
Re1 0.6667 0.3333 0.0000
Ir1 0.3333 0.6667 0.5000

No. 4
# PrNd2Ho3Se6, relaxed, DFT GGA-PBE
# D(E_F) (states/eV per cell): 9.959
# ΔE_f (raw) (eV/atom): -1.7885
# V (Å³ per cell): 606.5
# Total magnetic moment (Bohr magnetons per cell): 0.00
data_PrNd2Ho3Se6
_cell_length_a 18.224
_cell_length_b 4.095
_cell_length_c 8.423
_cell_angle_alpha 90.00
_cell_angle_beta 105.25
_cell_angle_gamma 90.00
_space_group_name_H-M_alt 'C 1 2/m 1'
_space_group_IT_number 12
loop_
_space_group_symop_operation_xyz
'x,y,z'
'-x,-y,-z'
'-x,y,-z'
'x,-y,z'
'x+1/2,y+1/2,z'
'-x+1/2,-y+1/2,-z'
'-x+1/2,y+1/2,-z'
'x+1/2,-y+1/2,z'
loop_
_atom_site_label
_atom_site_fract_x
_atom_site_fract_y
_atom_site_fract_z
Pr1 0.000 0.000 0.000
Nd1 0.166 0.500 0.333
Ho1 0.000 0.000 0.500
Ho2 0.166 0.500 0.833
Se1 0.003 0.500 0.739
Se2 0.163 0.000 0.593
Se3 0.171 0.000 0.074

No. 5
# PaZn4Cu2, relaxed, DFT GGA-PBE
# D(E_F) (states/eV per cell): 12.524
# Formation energy (eV/atom): -0.054
# V (Å³ per cell): 225.6
# Total magnetic moment (Bohr magnetons per cell): 1.06
data_PaZn4Cu2
_cell_length_a 7.456
_cell_length_b 7.456
_cell_length_c 4.058
_cell_angle_alpha 90.00
_cell_angle_beta 90.00
_cell_angle_gamma 90.00
_space_group_name_H-M_alt 'P 42/m n m'
_space_group_IT_number 136
_space_group_name_Hall '-P 4n 2n'
loop_
_atom_site_label
_atom_site_fract_x
_atom_site_fract_y
_atom_site_fract_z
Pa1 0.000 0.000 0.000
Zn1 0.090 0.341 0.500
Cu1 0.210 0.790 0.500

No. 6
# P3IrS, relaxed, DFT GGA-PBE
# D(E_F) (states/eV per cell): 6.190
# Energy relative to the lowest polymorph listed for this composition (meV/atom): 0
# ΔE_f (raw) (eV/atom): 0.8831
# V (Å³ per cell): 98.6
# Total magnetic moment (Bohr magnetons per cell): 0.00
data_P3IrS
_cell_length_a 4.620
_cell_length_b 4.620
_cell_length_c 4.620
_cell_angle_alpha 90.00
_cell_angle_beta 90.00
_cell_angle_gamma 90.00
_space_group_name_H-M_alt 'P m -3 m'
_space_group_IT_number 221
_space_group_name_Hall '-P 4 2 3'
loop_
_atom_site_label
_atom_site_fract_x
_atom_site_fract_y
_atom_site_fract_z
P1 0.000 0.000 0.500
Ir1 0.000 0.000 0.000
S1 0.500 0.500 0.500